Entry 1:
MnCoHg2: relaxed, PBEsol.

Lattice parameters (Å, degrees): 2.9937 2.9947 7.1299 90.00 90.26 90.00
Atoms (fractional coordinates):
Co 0.4991 0.5000 0.2898
Hg 0.9969 0.0000 0.0435
Hg 0.5034 0.5000 0.7138
Mn 0.0007 0.0000 0.4529

* SG: No. 6
* mass density: 13.4 g/cm³
* energy of formation: 0.261 eV/atom
* crystal system: monoclinic
* D(E_F): 0.78 states/eV/atom
* V: 64 Å³ per cell
* M_tot: 4.4 Bohr magnetons per cell

***

Entry 2:
CoHg2Mo: relaxed, PBEsol.

Lattice parameters (Å, degrees): 4.0339 4.0339 4.9380 114.11 114.11 90.00
Atoms (fractional coordinates):
Mo 0.5000 0.5000 0.0000
Co 0.0000 0.0000 0.0000
Hg 0.7500 0.2500 0.5000
Hg 0.2500 0.7500 0.5000

* SG: No. 139
* mass density: 14.1 g/cm³
* energy of formation: 0.656 eV/atom
* crystal system: tetragonal
* D(E_F): 0.95 states/eV/atom
* V: 66 Å³ per cell
* M_tot: 2.7 Bohr magnetons per cell

***

Entry 3:
ZrCoHgMo2: relaxed, PBEsol.

Lattice parameters (Å, degrees): 4.6524 4.6524 5.2083 90.00 90.00 90.00
Atoms (fractional coordinates):
Mo 0.0000 0.5000 0.0000
Mo 0.5000 0.0000 0.0000
Co 0.5000 0.5000 0.5000
Hg 0.0000 0.0000 0.5000
Zr 0.0000 0.0000 0.0000

* SG: No. 123
* mass density: 8.0 g/cm³
* energy of formation: 2.239 eV/atom
* crystal system: tetragonal
* D(E_F): 1.51 states/eV/atom
* V: 113 Å³ per cell
* M_tot: 1.6 Bohr magnetons per cell